[1]
The following is a GGA-PBE calculation of crystalline K3CoAg2Cl9 at its relaxed geometry, from Alexandria via LeMat-Bulk.

- Formation energy from raw total energies: -1.053 eV/atom
- Size of the total moment: 0.033 μB per atom
- Total energy: -48.52 eV/cell
- Space group: P-3m1 (164)

Geometry as POSCAR:
```
K3CoAg2Cl9
1.0
7.128 0.000 0.000
-3.564 6.173 0.000
0.000 0.000 8.648
K Co Ag Cl
3 1 2 9
Direct
0.333 0.667 0.685
0.000 0.000 0.000
0.667 0.333 0.315
0.000 0.000 0.500
0.333 0.667 0.179
0.667 0.333 0.821
0.848 0.152 0.653
0.848 0.696 0.653
0.304 0.152 0.653
0.696 0.848 0.347
0.152 0.304 0.347
0.152 0.848 0.347
0.500 0.000 0.000
0.000 0.500 0.000
0.500 0.500 0.000
```

[2]
The following is a GGA-PBE calculation of crystalline La4CoAgCl2 at its relaxed geometry, from Alexandria via LeMat-Bulk.

- Formation energy from raw total energies: -0.855 eV/atom
- Size of the total moment: 0.000 μB per atom
- Total energy: -40.20 eV/cell
- Space group: P2/m (10)

Geometry as POSCAR:
```
La4CoAgCl2
1.0
4.203 0.000 0.000
0.000 7.776 -0.369
0.000 2.529 6.959
La Co Ag Cl
4 1 1 2
Direct
0.000 0.721 0.719
0.000 0.279 0.281
0.500 0.714 0.277
0.500 0.286 0.723
0.000 0.500 0.500
0.500 0.500 0.000
0.000 0.000 0.000
0.500 0.000 0.500
```

[3]
The following is a GGA-PBE calculation of crystalline Li2CoAgCl6 at its relaxed geometry, from Alexandria via LeMat-Bulk.

- Formation energy from raw total energies: -1.002 eV/atom
- Size of the total moment: 0.007 μB per atom
- Total energy: -34.88 eV/cell
- Space group: R3 (146)

Geometry as POSCAR:
```
Li2CoAgCl6
1.0
6.303 0.000 0.000
3.152 5.459 0.000
3.151 1.820 5.757
Li Co Ag Cl
2 1 1 6
Direct
0.520 0.520 0.439
0.005 0.005 0.986
0.330 0.330 0.011
0.817 0.817 0.549
0.564 0.241 0.235
0.241 0.960 0.235
0.960 0.564 0.235
0.396 0.703 0.775
0.703 0.126 0.775
0.126 0.396 0.775
```

[4]
The following is a GGA-PBE calculation of crystalline LiCoAgCl6 at its relaxed geometry, from Alexandria via LeMat-Bulk.

- Formation energy from raw total energies: -0.716 eV/atom
- Size of the total moment: 0.110 μB per atom
- Total energy: -58.79 eV/cell
- Space group: P-31c (163)

Geometry as POSCAR:
```
LiCoAgCl6
1.0
6.198 0.000 0.000
-3.099 5.368 0.000
0.000 0.000 11.320
Li Co Ag Cl
2 2 2 12
Direct
0.333 0.667 0.250
0.667 0.333 0.750
0.667 0.333 0.250
0.333 0.667 0.750
0.000 0.000 0.000
0.000 0.000 0.500
0.655 0.624 0.134
0.969 0.345 0.134
0.345 0.969 0.634
0.031 0.655 0.866
0.376 0.345 0.366
0.969 0.624 0.366
0.624 0.969 0.866
0.655 0.031 0.366
0.031 0.376 0.634
0.376 0.031 0.134
0.624 0.655 0.634
0.345 0.376 0.866
```

[5]
The following is a GGA-PBE calculation of crystalline Na3CoAg3Cl8 at its relaxed geometry, from Alexandria via LeMat-Bulk.

- Formation energy from raw total energies: -0.987 eV/atom
- Size of the total moment: 0.200 μB per atom
- Total energy: -49.20 eV/cell
- Space group: R-3m (166)

Geometry as POSCAR:
```
Na3CoAg3Cl8
1.0
-7.753 -1.951 0.119
5.055 -3.992 -4.738
0.329 -0.829 7.805
Na Co Ag Cl
3 1 3 8
Direct
0.500 0.000 0.500
0.500 0.500 0.500
0.000 0.500 0.500
0.000 0.000 0.500
0.000 0.000 0.000
0.000 0.500 0.000
0.500 0.500 0.000
0.250 0.500 0.250
0.750 0.500 0.750
0.779 0.557 0.276
0.221 0.443 0.724
0.779 0.997 0.276
0.221 0.003 0.724
0.218 0.997 0.276
0.782 0.003 0.724
```

[6]
The following is a GGA-PBE calculation of crystalline NaCoAg2Cl6 at its relaxed geometry, from Alexandria via LeMat-Bulk.

- Formation energy from raw total energies: -0.721 eV/atom
- Size of the total moment: 0.005 μB per atom
- Total energy: -32.42 eV/cell
- Space group: R3 (146)

Geometry as POSCAR:
```
NaCoAg2Cl6
1.0
6.698 -0.001 0.000
3.348 5.800 0.000
3.348 1.933 5.767
Na Co Ag Cl
1 1 2 6
Direct
0.814 0.814 0.558
0.323 0.323 0.032
0.554 0.554 0.338
0.029 0.029 0.913
0.539 0.225 0.258
0.225 0.978 0.258
0.979 0.539 0.258
0.411 0.667 0.800
0.667 0.122 0.800
0.122 0.411 0.800
```

[7]
The following is a GGA-PBE calculation of crystalline Nd6Co2AgCl3 at its relaxed geometry, from Alexandria via LeMat-Bulk.

- Formation energy from raw total energies: -0.796 eV/atom
- Size of the total moment: 0.000 μB per atom
- Total energy: -60.76 eV/cell
- Space group: C2/m (12)

Geometry as POSCAR:
```
Nd6Co2AgCl3
1.0
-1.091 -1.807 -3.450
-3.413 -6.812 4.647
-6.259 7.490 0.427
Nd Co Ag Cl
6 2 1 3
Direct
0.334 0.876 0.669
0.682 0.562 0.365
0.666 0.124 0.331
0.022 0.262 0.044
0.978 0.738 0.956
0.318 0.438 0.635
0.833 0.664 0.666
0.167 0.336 0.334
0.500 0.000 0.000
0.500 0.500 0.000
0.830 0.161 0.661
0.170 0.839 0.339
```

[8]
The following is a GGA-PBE calculation of crystalline CoAgPCl2 at its relaxed geometry, from Alexandria via LeMat-Bulk.

- Formation energy from raw total energies: 0.970 eV/atom
- Size of the total moment: 0.789 μB per atom
- Total energy: -14.21 eV/cell
- ΔE to the lowest computed polymorph: 793 meV/atom
- Space group: P4/mmm (123)

Geometry as POSCAR:
```
CoAgPCl2
1.0
4.942 0.000 0.000
0.000 4.942 0.000
0.000 0.000 4.954
P Co Ag Cl
1 1 1 2
Direct
0.000 0.000 0.500
0.500 0.500 0.500
0.000 0.000 0.000
0.000 0.500 0.000
0.500 0.000 0.000
```

[9]
The following is a GGA-PBE calculation of crystalline CoAgPCl2 at its relaxed geometry, from Alexandria via LeMat-Bulk.

- Formation energy from raw total energies: 0.177 eV/atom
- Size of the total moment: 0.000 μB per atom
- Total energy: -18.17 eV/cell
- ΔE to the lowest computed polymorph: 0 meV/atom
- Space group: P4/mmm (123)

Geometry as POSCAR:
```
CoAgPCl2
1.0
-1.663 -0.092 -4.582
4.553 -0.586 -1.641
-0.448 -4.165 0.246
P Co Ag Cl
1 1 1 2
Direct
0.000 0.000 0.500
0.000 0.000 0.000
0.500 0.500 0.500
0.000 0.500 0.000
0.500 0.000 0.000
```

[10]
The following is a GGA-PBE calculation of crystalline Co2AgPbCl at its relaxed geometry, from Alexandria via LeMat-Bulk.

- Formation energy from raw total energies: 0.718 eV/atom
- Size of the total moment: 0.480 μB per atom
- Total energy: -19.03 eV/cell
- Space group: P4/mmm (123)

Geometry as POSCAR:
```
Co2AgPbCl
1.0
-2.514 1.189 3.156
-4.193 0.696 -3.602
-1.163 -4.000 0.581
Pb Co Ag Cl
1 2 1 1
Direct
0.500 0.500 0.500
0.000 0.000 0.500
0.500 0.000 0.000
0.000 0.500 0.000
0.000 0.000 0.000
```

[11]
The following is a GGA-PBE calculation of crystalline Pm6Co2AgCl3 at its relaxed geometry, from Alexandria via LeMat-Bulk.

- Formation energy from raw total energies: -0.803 eV/atom
- Size of the total moment: 0.000 μB per atom
- Total energy: -60.74 eV/cell
- Space group: C2/m (12)

Geometry as POSCAR:
```
Pm6Co2AgCl3
1.0
3.999 0.000 0.000
0.000 8.840 -0.086
-2.000 -2.973 9.088
Pm Co Ag Cl
6 2 1 3
Direct
0.335 0.875 0.670
0.683 0.565 0.366
0.665 0.125 0.330
0.025 0.264 0.049
0.975 0.736 0.951
0.317 0.435 0.634
0.832 0.661 0.665
0.168 0.339 0.335
0.500 0.000 0.000
0.500 0.500 0.000
0.829 0.159 0.657
0.171 0.841 0.343
```

[12]
The following is a GGA-PBE calculation of crystalline PmCoAgCl6 at its relaxed geometry, from Alexandria via LeMat-Bulk.

- Formation energy from raw total energies: -1.246 eV/atom
- Size of the total moment: 0.333 μB per atom
- Total energy: -74.00 eV/cell
- Space group: P-31c (163)

Geometry as POSCAR:
```
PmCoAgCl6
1.0
-2.893 -1.583 -5.757
2.608 -4.757 3.820
-10.629 -1.260 5.687
Pm Co Ag Cl
2 2 2 12
Direct
0.667 0.333 0.250
0.333 0.667 0.750
0.333 0.667 0.250
0.667 0.333 0.750
0.000 0.000 0.000
0.000 0.000 0.500
0.636 0.667 0.131
0.031 0.364 0.131
0.364 0.031 0.631
0.969 0.636 0.869
0.333 0.364 0.369
0.031 0.667 0.369
0.667 0.031 0.869
0.636 0.969 0.369
0.969 0.333 0.631
0.333 0.969 0.131
0.667 0.636 0.631
0.364 0.333 0.869
```

[13]
The following is a GGA-PBE calculation of crystalline PuCoAgCl6 at its relaxed geometry, from Alexandria via LeMat-Bulk.

- Formation energy from raw total energies: -1.112 eV/atom
- Size of the total moment: 0.222 μB per atom
- Total energy: -90.75 eV/cell
- Space group: P-31c (163)

Geometry as POSCAR:
```
PuCoAgCl6
1.0
-3.816 -2.242 -4.743
6.066 -2.218 0.605
-4.034 -8.988 7.492
Pu Co Ag Cl
2 2 2 12
Direct
0.667 0.333 0.250
0.333 0.667 0.750
0.333 0.667 0.250
0.667 0.333 0.750
0.000 0.000 0.000
0.000 0.000 0.500
0.639 0.666 0.132
0.027 0.361 0.132
0.361 0.027 0.632
0.973 0.639 0.868
0.334 0.361 0.368
0.027 0.666 0.368
0.666 0.027 0.868
0.639 0.973 0.368
0.973 0.334 0.632
0.334 0.973 0.132
0.666 0.639 0.632
0.361 0.334 0.868
```

[14]
The following is a GGA-PBE calculation of crystalline Rb3CoAg2Cl9 at its relaxed geometry, from Alexandria via LeMat-Bulk.

- Formation energy from raw total energies: -1.073 eV/atom
- Size of the total moment: 0.034 μB per atom
- Total energy: -48.43 eV/cell
- Space group: P-3m1 (164)

Geometry as POSCAR:
```
Rb3CoAg2Cl9
1.0
7.183 0.000 0.000
-3.591 6.221 0.000
0.000 0.000 8.746
Rb Co Ag Cl
3 1 2 9
Direct
0.333 0.667 0.677
0.000 0.000 0.000
0.667 0.333 0.323
0.000 0.000 0.500
0.333 0.667 0.176
0.667 0.333 0.824
0.848 0.152 0.652
0.848 0.696 0.652
0.304 0.152 0.652
0.696 0.848 0.348
0.152 0.304 0.348
0.152 0.848 0.348
0.500 0.000 0.000
0.000 0.500 0.000
0.500 0.500 0.000
```

[15]
The following is a GGA-PBE calculation of crystalline Rb3Co2AgCl8 at its relaxed geometry, from Alexandria via LeMat-Bulk.

- Formation energy from raw total energies: -1.158 eV/atom
- Size of the total moment: 0.429 μB per atom
- Total energy: -50.95 eV/cell
- Space group: P-3m1 (164)

Geometry as POSCAR:
```
Rb3Co2AgCl8
1.0
-4.874 5.215 1.472
-0.527 -6.502 3.249
5.354 3.040 6.953
Rb Co Ag Cl
3 2 1 8
Direct
0.333 0.667 0.635
0.667 0.333 0.365
0.000 0.000 0.000
0.333 0.667 0.216
0.667 0.333 0.784
0.000 0.000 0.500
0.333 0.667 0.979
0.667 0.333 0.021
0.168 0.832 0.312
0.832 0.168 0.688
0.168 0.336 0.312
0.832 0.664 0.688
0.664 0.832 0.312
0.336 0.168 0.688
```

[16]
The following is a GGA-PBE calculation of crystalline RbCoAg2Cl6 at its relaxed geometry, from Alexandria via LeMat-Bulk.

- Formation energy from raw total energies: -0.788 eV/atom
- Size of the total moment: 0.405 μB per atom
- Total energy: -65.48 eV/cell
- Space group: C2/c (15)

Geometry as POSCAR:
```
RbCoAg2Cl6
1.0
8.277 0.187 0.194
2.884 8.694 0.153
2.884 -0.170 8.693
Rb Co Ag Cl
2 2 4 12
Direct
0.250 0.827 0.173
0.750 0.173 0.827
0.250 0.182 0.818
0.750 0.818 0.182
0.314 0.683 0.638
0.186 0.362 0.317
0.686 0.317 0.362
0.814 0.638 0.683
0.183 0.970 0.817
0.317 0.183 0.030
0.817 0.030 0.183
0.683 0.817 0.970
0.516 0.825 0.387
0.984 0.613 0.175
0.484 0.175 0.613
0.016 0.387 0.825
0.045 0.760 0.554
0.455 0.446 0.240
0.955 0.240 0.446
0.545 0.554 0.760
```

[17]
The following is a GGA-PBE calculation of crystalline Rb2CoAg2Cl6 at its relaxed geometry, from Alexandria via LeMat-Bulk.

- Formation energy from raw total energies: -0.964 eV/atom
- Size of the total moment: 0.273 μB per atom
- Total energy: -36.43 eV/cell
- Space group: R-3m (166)

Geometry as POSCAR:
```
Rb2CoAg2Cl6
1.0
7.632 0.000 0.000
3.816 6.610 0.000
3.816 2.203 6.316
Rb Co Ag Cl
2 1 2 6
Direct
0.774 0.774 0.679
0.226 0.226 0.321
0.000 0.000 0.000
0.420 0.420 0.740
0.580 0.580 0.260
0.774 0.774 0.240
0.212 0.774 0.240
0.774 0.212 0.240
0.226 0.788 0.760
0.788 0.226 0.760
0.226 0.226 0.760
```

[18]
The following is a GGA-PBE calculation of crystalline RbCo2AgCl6 at its relaxed geometry, from Alexandria via LeMat-Bulk.

- Formation energy from raw total energies: -0.828 eV/atom
- Size of the total moment: 0.600 μB per atom
- Total energy: -74.77 eV/cell
- Space group: C2/c (15)

Geometry as POSCAR:
```
RbCo2AgCl6
1.0
8.938 0.907 0.686
-0.194 8.982 0.686
-1.808 -2.045 6.575
Rb Co Ag Cl
2 4 2 12
Direct
0.195 0.805 0.250
0.805 0.195 0.750
0.299 0.127 0.777
0.873 0.701 0.723
0.701 0.873 0.223
0.127 0.299 0.277
0.603 0.397 0.250
0.397 0.603 0.750
0.898 0.407 0.191
0.593 0.102 0.309
0.102 0.593 0.809
0.407 0.898 0.691
0.174 0.110 0.022
0.890 0.826 0.478
0.826 0.890 0.978
0.110 0.174 0.522
0.312 0.465 0.370
0.535 0.688 0.130
0.688 0.535 0.630
0.465 0.312 0.870
```

[19]
The following is a GGA-PBE calculation of crystalline RbCoAg2Cl8 at its relaxed geometry, from Alexandria via LeMat-Bulk.

- Formation energy from raw total energies: -0.627 eV/atom
- Size of the total moment: 0.088 μB per atom
- Total energy: -36.08 eV/cell
- Space group: P-1 (2)

Geometry as POSCAR:
```
RbCoAg2Cl8
1.0
-2.455 2.206 -4.779
-4.876 -3.418 0.309
-6.585 5.618 5.592
Rb Co Ag Cl
1 1 2 8
Direct
0.000 0.000 0.500
0.000 0.000 0.000
0.441 0.498 0.819
0.559 0.502 0.181
0.174 0.741 0.175
0.729 0.756 0.987
0.805 0.129 0.167
0.826 0.259 0.825
0.271 0.244 0.013
0.195 0.871 0.833
0.535 0.712 0.600
0.465 0.288 0.400
```